Here is a relaxed Li4CrW3O12 crystal from the Alexandria database. Energies are from GGA+U.

## Properties
M_tot   0.20 μB/atom
Space-group type   No. 3
Energy relative to the lowest polymorph listed for this composition   0.004 eV per atom
Total energy   -6.89 eV/atom

Lattice parameters (Å, degrees): 5.014 8.652 5.146 90.00 90.72 90.00
Atoms (fractional coordinates):
Li: 0.000 0.000 0.000
Li: 0.000 0.338 0.500
Li: 0.500 0.461 0.500
Li: 0.500 0.857 0.000
Cr: 0.500 0.253 0.000
W: 0.000 0.551 0.000
W: 0.000 0.763 0.500
W: 0.500 0.080 0.500
O: 0.200 0.738 0.823
O: 0.209 0.584 0.315
O: 0.241 0.415 0.849
O: 0.255 0.919 0.358
O: 0.296 0.241 0.330
O: 0.300 0.082 0.818
O: 0.700 0.082 0.182
O: 0.704 0.241 0.670
O: 0.745 0.919 0.642
O: 0.759 0.415 0.151
O: 0.791 0.584 0.685
O: 0.800 0.738 0.177